No. 1
Computed, not measured: a relaxed structure of AcCrP2 at the GGA-PBE level of DFT.

Structure (POSCAR):
```
AcCrP2
1.0
-1.113 -2.777 -2.658
-2.102 -3.188 1.198
-6.216 1.028 -1.484
Cr Ac P
1 1 2
Cartesian
0.000 0.000 0.000 Cr
-4.715 -2.468 -1.472 Ac
-7.462 -3.474 -2.283 P
-1.968 -1.462 -0.661 P
```

Computed properties:
Total magnetization = 0.705 μB per atom
Fermi-level density of states = 0.22 states/eV/atom
Formation energy from the elements = -0.765 eV/atom
Raw total energy = -27.6 eV per cell
Space-group type = R-3m, No. 166

No. 2
Computed, not measured: a relaxed structure of AcCrP at the GGA-PBE level of DFT.

Structure (POSCAR):
```
AcCrP
1.0
-1.005 -2.347 -2.876
3.393 -1.791 0.276
-3.700 -6.046 6.243
Ac P Cr
2 2 2
Cartesian
-0.514 -2.851 1.219 Ac
-0.798 -7.334 2.424 Ac
-2.573 -6.215 4.703 P
1.262 -3.970 -1.060 P
0.095 -2.208 -2.088 Cr
-1.407 -7.976 5.731 Cr
```

Computed properties:
Total magnetization = 0.269 μB per atom
Fermi-level density of states = 0.98 states/eV/atom
Formation energy from the elements = -0.684 eV/atom
Raw total energy = -42.4 eV per cell
Space-group type = P2_1/m, No. 11

No. 3
Computed, not measured: a relaxed structure of Ac2CrP at the GGA-PBE level of DFT.

Structure (POSCAR):
```
Ac2CrP
1.0
3.923 0.000 0.000
0.000 5.336 0.000
0.000 0.000 5.336
Cr Ac P
1 2 1
Cartesian
1.962 0.000 0.000 Cr
0.000 0.000 2.668 Ac
0.000 2.668 0.000 Ac
1.962 2.668 2.668 P
```

Computed properties:
Total magnetization = 0.962 μB per atom
Fermi-level density of states = 0.71 states/eV/atom
Formation energy from the elements = -0.181 eV/atom
Raw total energy = -24.0 eV per cell
Space-group type = P4/mmm, No. 123

No. 4
Computed, not measured: a relaxed structure of Ac2CrP3Pt12 at the GGA-PBE level of DFT.

Structure (POSCAR):
```
Ac2CrP3Pt12
1.0
7.843 -0.209 -0.148
3.692 6.923 -0.148
3.692 2.149 6.583
Ac Cr P Pt
2 1 3 12
Cartesian
9.359 5.447 3.864 Ac
5.868 3.416 2.423 Ac
0.000 0.000 0.000 Cr
3.922 -0.104 -0.074 P
1.846 3.462 -0.074 P
1.846 1.074 3.292 P
7.260 4.226 5.836 Pt
11.535 6.714 2.166 Pt
9.404 7.924 5.621 Pt
9.589 2.903 2.059 Pt
11.535 4.264 5.621 Pt
7.260 6.905 2.059 Pt
7.966 4.637 0.451 Pt
3.692 2.149 4.121 Pt
5.823 0.939 0.666 Pt
5.637 5.960 4.227 Pt
3.692 4.599 0.666 Pt
7.966 1.959 4.227 Pt
```

Computed properties:
Total magnetization = 0.188 μB per atom
Fermi-level density of states = 0.43 states/eV/atom
Formation energy from the elements = -0.434 eV/atom
Raw total energy = -114.4 eV per cell
Space-group type = R-3m, No. 166

No. 5
Computed, not measured: a relaxed structure of AcCrP2Rh5 at the GGA-PBE level of DFT.

Structure (POSCAR):
```
AcCrP2Rh5
1.0
-2.096 -2.832 2.059
-2.032 -0.971 -3.403
6.848 -6.659 -2.190
Ac Cr P Rh
1 1 2 5
Cartesian
3.424 -3.330 -1.095 Ac
0.000 0.000 0.000 Cr
-0.249 -3.666 -1.252 P
2.970 -6.796 -2.281 P
0.057 -1.529 -2.044 Rh
0.025 -2.459 0.687 Rh
4.759 -6.102 -3.548 Rh
4.728 -7.032 -0.817 Rh
1.360 -5.231 -1.767 Rh
```

Computed properties:
Total magnetization = 0.252 μB per atom
Fermi-level density of states = 0.84 states/eV/atom
Formation energy from the elements = -0.548 eV/atom
Raw total energy = -66.2 eV per cell
Space-group type = P4/mmm, No. 123

No. 6
Computed, not measured: a relaxed structure of Ac2CrP3Rh12 at the GGA-PBE level of DFT.

Structure (POSCAR):
```
Ac2CrP3Rh12
1.0
7.792 -0.068 -0.048
3.789 6.809 -0.048
3.789 2.206 6.442
Ac Cr P Rh
2 1 3 12
Cartesian
9.464 5.509 3.907 Ac
5.906 3.438 2.438 Ac
0.000 0.000 0.000 Cr
3.896 -0.034 -0.024 P
1.895 3.404 -0.024 P
1.895 1.103 3.221 P
7.416 4.317 5.798 Rh
11.698 6.809 2.209 Rh
9.547 8.031 5.696 Rh
9.662 3.041 2.157 Rh
11.698 4.336 5.696 Rh
7.416 6.900 2.157 Rh
7.954 4.630 0.547 Rh
3.672 2.137 4.137 Rh
5.823 0.916 0.650 Rh
5.708 5.905 4.189 Rh
3.672 4.611 0.650 Rh
7.954 2.047 4.189 Rh
```

Computed properties:
Total magnetization = 0.000 μB per atom
Fermi-level density of states = 0.79 states/eV/atom
Formation energy from the elements = -0.193 eV/atom
Raw total energy = -125.8 eV per cell
Space-group type = R-3m, No. 166

No. 7
Computed, not measured: a relaxed structure of AcCrP2S8 at the GGA-PBE level of DFT.

Structure (POSCAR):
```
AcCrP2S8
1.0
-0.559 4.923 3.042
-4.994 2.755 -1.129
-4.453 -3.605 6.609
Ac Cr P S
1 1 2 8
Cartesian
-2.226 -1.802 3.304 Ac
0.000 0.000 0.000 Cr
-4.398 4.045 2.574 P
-5.608 0.029 5.948 P
-5.264 1.629 7.275 S
-4.249 5.763 1.522 S
-5.698 3.717 4.127 S
-4.308 0.357 4.395 S
-5.757 -1.689 7.000 S
-7.500 0.536 5.172 S
-2.506 3.538 3.350 S
-4.742 2.445 1.248 S
```

Computed properties:
Total magnetization = 0.231 μB per atom
Fermi-level density of states = 0.13 states/eV/atom
Raw total energy = -65.2 eV per cell
Space-group type = C2/m, No. 12
Formation energy from raw total energies = -635 meV per atom

No. 8
Computed, not measured: a relaxed structure of AcPa2CrS8 at the GGA-PBE level of DFT.

Structure (POSCAR):
```
AcPa2CrS8
1.0
-3.750 -2.611 -4.187
3.087 -5.169 0.112
-4.866 -2.775 6.088
Ac Pa Cr S
1 2 1 8
Cartesian
-2.433 -1.388 3.044 Ac
-4.035 -6.001 2.595 Pa
-1.495 -4.554 -0.582 Pa
0.000 0.000 0.000 Cr
0.753 -4.977 0.662 S
-5.107 -8.358 3.352 S
-3.431 -3.952 -2.215 S
-6.282 -5.579 1.351 S
-0.423 -2.198 -1.339 S
-2.099 -6.603 4.229 S
-2.530 -6.764 0.517 S
-3.000 -3.791 1.496 S
```

Computed properties:
Total magnetization = 0.250 μB per atom
Fermi-level density of states = 0.06 states/eV/atom
Raw total energy = -82.0 eV per cell
Space-group type = P2/m, No. 10
Formation energy from raw total energies = -1356 meV per atom